PaCrSi2O8 | PBE+U | optimized geometry

Results
The calculation puts the magnetic moment at 2.98 μB per cell. The raw total energy is -99.52 eV for the cell shown.

Lattice parameters (Å, degrees): 5.6725 5.6725 5.6725 107.45 107.45 113.60
With the nearest neighbours (Å) after each atom.
Fractional positions:
O 0.3252 0.5130 0.1878  1 Si 1.66
Si 0.7500 0.2500 0.5000  4 O 1.63
O 0.4870 0.6748 0.8122  1 Si 1.66
O 0.7579 0.0760 0.6819  1 Si 1.63
Cr 0.2500 0.7500 0.5000  8 O 2.15-2.36
Si 0.5000 0.5000 0.0000  4 O 1.66
O 0.3941 0.0760 0.3181  1 Si 1.63
Pa 0.0000 0.0000 0.0000  8 O 2.19-2.38
O 0.3252 0.1374 0.8122  1 Si 1.66
O 0.9240 0.6059 0.6819  1 Si 1.63
O 0.9240 0.2421 0.3181  1 Si 1.63
O 0.8626 0.6748 0.1878  1 Si 1.66